DFT (PBE) results for AsRhCl3 after structural relaxation.

The energy above the most stable polymorph in this dataset comes out at 0.2497 eV per atom. Its final energy is -3.037 eV/atom. The crystal system is cubic. The calculation puts the formation energy without anion corrections at 0.47 eV per atom.

It has space group Pm-3m (No. 221), with a = 5.039 Å, b = 5.039 Å, c = 5.039 Å, α = 90.00°, β = 90.00° and γ = 90.00°. The distinct sites, in fractional coordinates, are As at (0.000, 0.000, 0.000), Rh at (0.500, 0.500, 0.500) and Cl at (0.000, 0.000, 0.500).